Material: LiPaNi4
Method: DFT, PBE
State: relaxed

a = 6.8956 Å, b = 6.8956 Å, c = 6.8956 Å
α = 90.00°, β = 90.00°, γ = 90.00°
With the nearest neighbours (Å) after each atom.
Space group F-43m (No. 216)
Unique sites:
Li: 0.0000 0.0000 0.0000 x4  12 Ni 2.86, 4 Pa 2.99
Pa: 0.2500 0.2500 0.7500 x4  12 Ni 2.86, 4 Li 2.99
Ni: 0.1260 0.1260 0.3740 x16  6 Ni 2.42-2.46

---

Material: LiPaNi2
Method: DFT, PBE
State: relaxed

Output
**Energy relative to the lowest polymorph listed for this composition**: 3.1 kJ per mole of atoms

a = 4.4217 Å, b = 4.4217 Å, c = 3.2509 Å
α = 90.00°, β = 90.00°, γ = 90.00°
With the nearest neighbours (Å) after each atom.
Space group P4/mmm (No. 123)
Unique sites:
Li: 0.0000 0.0000 0.0000 x1  8 Ni 2.74
Pa: 0.5000 0.5000 0.0000 x1  8 Ni 2.74
Ni: 0.0000 0.5000 0.5000 x2  4 Li 2.74, 4 Pa 2.74

---

Material: LiPaNi2
Method: DFT, PBE
State: relaxed

Output
**Energy relative to the lowest polymorph listed for this composition**: 0.0 kJ per mole of atoms

a = 3.0789 Å, b = 3.0789 Å, c = 6.2868 Å
α = 90.00°, β = 90.00°, γ = 90.00°
With the nearest neighbours (Å) after each atom.
Space group P4/mmm (No. 123)
Unique sites:
Li: 0.0000 0.0000 0.0000 x1  8 Ni 2.54
Pa: 0.0000 0.0000 0.5000 x1  8 Ni 2.85, 4 Pa 3.08, 2 Li 3.14
Ni: 0.5000 0.5000 0.2070 x2  4 Li 2.54, 1 Ni 2.60

---

Material: LiPaNiPb
Method: DFT, PBE
State: relaxed

a = 6.7104 Å, b = 6.7104 Å, c = 6.7104 Å
α = 90.00°, β = 90.00°, γ = 90.00°
With the nearest neighbours (Å) after each atom.
Space group F-43m (No. 216)
Unique sites:
Li: 0.0000 0.0000 0.0000 x4  4 Pb 2.91, 4 Pa 2.91
Pa: 0.2500 0.2500 0.2500 x4  4 Li 2.91, 4 Ni 2.91
Ni: 0.0000 0.0000 0.5000 x4  4 Pb 2.91, 4 Pa 2.91
Pb: 0.2500 0.2500 0.7500 x4  4 Li 2.91, 4 Ni 2.91

---

It is found that the M_tot values, taken in the order of the records, are 0.00, 0.00, 0.00, 0.01 Bohr magnetons per cell.
It is found that the E_tot values, taken in the order of the records, are -147.05, -23.38, -23.50, -84.19 eV per cell.
It is found that the ΔH_f (0 K) values, taken in the order of the records, are -0.37, -0.10, -0.13, -0.04 eV/atom.